1.
## NaNpTe2 (PBE-GGA)

Data for a geometry-optimized NaNpTe2 structure.

The structure in POSCAR format:
```
NaNpTe2
1.0
2.1468 1.2394 8.0245
-2.1468 1.2394 8.0245
0.0000 -2.4789 8.0245
Na Np Te
1 1 2
direct
0.0000 0.0000 0.0000
0.8316 0.8316 0.8316
0.4184 0.4184 0.4184
0.5784 0.5784 0.5784
```

As for the calculated volume: 128.1 Å³/cell. The calculation puts the uncorrected energy at -23.515 eV/cell.


2.
## Na3Np4Te8 (PBE-GGA)

Data for a geometry-optimized Na3Np4Te8 structure.

The structure in POSCAR format:
```
Na3Np4Te8
1.0
6.2754 -6.3784 0.0000
6.2754 6.3784 0.0000
-6.2316 0.0000 6.3642
Na Np Te
3 4 8
direct
0.0000 0.0000 0.0000
0.0000 0.5000 0.0000
0.5000 0.0000 0.0000
0.0000 0.5000 0.5000
0.5000 0.0000 0.5000
0.5000 0.5000 0.0000
0.5000 0.5000 0.5000
0.2520 0.2520 0.5074
0.2544 0.7456 0.0000
0.2551 0.7449 0.5000
0.2693 0.2693 0.0222
0.7307 0.7307 0.9778
0.7449 0.2551 0.5000
0.7456 0.2544 0.0000
0.7480 0.7480 0.4926
```

As for the calculated volume: 509.5 Å³/cell. The calculation puts the uncorrected energy at -91.379 eV/cell.


3.
## Na5NpTe4 (PBE-GGA)

Data for a geometry-optimized Na5NpTe4 structure.

The structure in POSCAR format:
```
Na5NpTe4
1.0
9.5620 -2.3829 0.0000
9.5620 2.3829 0.0000
-3.7743 0.0000 7.6287
Na Np Te
5 1 4
direct
0.0000 0.0000 0.0000
0.3231 0.3231 0.5532
0.3235 0.3235 0.0920
0.6765 0.6765 0.9080
0.6769 0.6769 0.4468
0.0000 0.0000 0.5000
0.1929 0.1929 0.6933
0.5003 0.5003 0.2502
0.4997 0.4997 0.7498
0.8071 0.8071 0.3067
```

As for the calculated volume: 347.6 Å³/cell. The calculation puts the uncorrected energy at -40.297 eV/cell.


4.
## NaNpTe2 (PBE-GGA)

Data for a geometry-optimized NaNpTe2 structure.

The structure in POSCAR format:
```
NaNpTe2
1.0
3.8120 0.0000 0.0000
0.0000 3.8120 0.0000
0.0000 0.0000 7.9677
Na Np Te
1 1 2
direct
0.0000 0.0000 0.0000
0.0000 0.0000 0.5000
0.5000 0.5000 0.2729
0.5000 0.5000 0.7271
```

As for the calculated volume: 115.8 Å³/cell. The calculation puts the uncorrected energy at -23.388 eV/cell.


5.
## Na2NpTe4 (PBE-GGA)

Data for a geometry-optimized Na2NpTe4 structure.

The structure in POSCAR format:
```
Na2NpTe4
1.0
-3.9593 4.5420 7.3600
3.9593 -4.5420 7.3600
3.9593 4.5420 -7.3600
Na Np Te
4 2 8
direct
0.0000 0.0000 0.5000
0.0000 0.5000 0.0000
0.4042 0.1542 0.2500
0.5958 0.8458 0.7500
0.0000 0.5000 0.5000
0.5000 0.5000 0.0000
0.2090 0.6970 0.5120
0.2394 0.2440 0.5046
0.2394 0.7348 0.9954
0.3149 0.3030 0.0120
0.6851 0.6970 0.9880
0.7606 0.2652 0.0046
0.7606 0.7560 0.4954
0.7910 0.3030 0.4880
```

As for the calculated volume: 529.4 Å³/cell. The calculation puts the uncorrected energy at -63.463 eV/cell.


6.
## Na5NpTe5 (PBE-GGA)

Data for a geometry-optimized Na5NpTe5 structure.

The structure in POSCAR format:
```
Na5NpTe5
1.0
7.5014 -3.0639 0.0000
7.5014 3.0639 0.0000
-2.7924 0.0000 8.4793
Na Np Te
5 1 5
direct
0.0000 0.0000 0.0000
0.3067 0.3067 0.1773
0.3138 0.3138 0.6369
0.6862 0.6862 0.3631
0.6933 0.6933 0.8227
0.0000 0.0000 0.5000
0.1425 0.1425 0.3279
0.1535 0.1535 0.8146
0.5000 0.5000 0.5000
0.8465 0.8465 0.1854
0.8575 0.8575 0.6721
```

As for the calculated volume: 389.8 Å³/cell. The calculation puts the uncorrected energy at -43.695 eV/cell.


7.
## Na2NpTe3 (PBE-GGA)

Data for a geometry-optimized Na2NpTe3 structure.

The structure in POSCAR format:
```
Na2NpTe3
1.0
3.8927 -6.7479 0.0000
3.8927 6.7479 0.0000
-2.6089 0.0000 7.4325
Na Np Te
4 2 6
direct
0.0000 0.0000 0.0000
0.1603 0.8397 0.5000
0.5000 0.5000 0.5000
0.8397 0.1603 0.5000
0.3328 0.6672 0.0000
0.6672 0.3328 0.0000
0.0778 0.4304 0.2321
0.2741 0.2741 0.7676
0.4304 0.0778 0.2321
0.5696 0.9222 0.7679
0.7259 0.7259 0.2324
0.9222 0.5696 0.7679
```

As for the calculated volume: 390.5 Å³/cell. Its relative energy among the computed polymorphs is 0.000 eV per atom.


8.
## Na4NpTe4 (PBE-GGA)

Data for a geometry-optimized Na4NpTe4 structure.

The structure in POSCAR format:
```
Na4NpTe4
1.0
-3.7939 3.7939 6.7094
3.7939 -3.7939 6.7094
3.7939 3.7939 -6.7094
Na Np Te
4 1 4
direct
0.0000 0.5000 0.5000
0.2131 0.2131 0.0000
0.5000 0.0000 0.5000
0.7869 0.7869 0.0000
0.5000 0.5000 0.0000
0.1530 0.6018 0.0000
0.3982 0.3982 0.5513
0.6018 0.1530 0.0000
0.8470 0.8470 0.4487
```

As for the calculated volume: 386.3 Å³/cell. The calculation puts the uncorrected energy at -36.908 eV/cell.